GaPbIN2 | PBE-GGA | relaxed

Values from the calculation:
As for the symmetry: P4/mmm, No. 123. The energy above the lowest structure with this stoichiometry comes out at 74 meV per atom.

a b c (Å): 4.517 4.517 6.848
angles (deg): 90.00 90.00 90.00
Site moments in Bohr magnetons follow the coordinates.
Atoms (fractional coordinates):
I  0.000  0.000  0.500  0.00
Pb  0.000  0.000  0.000  -0.09
N  0.000  0.500  0.000  0.85
N  0.500  0.000  0.000  0.85
Ga  0.500  0.500  0.500  -0.01


GaPbIN2 | PBE-GGA | relaxed

Values from the calculation:
As for the symmetry: P4/mmm, No. 123. The energy above the lowest structure with this stoichiometry comes out at 0 meV per atom.

a b c (Å): 4.344 4.344 6.753
angles (deg): 90.00 90.00 90.00
Site moments in Bohr magnetons follow the coordinates.
Atoms (fractional coordinates):
I  0.000  0.000  0.500  -0.01
Pb  0.500  0.500  0.500  -0.13
N  0.000  0.500  0.000  0.88
N  0.500  0.000  0.000  0.88
Ga  0.000  0.000  0.000  -0.06


GaPtI2N | PBE-GGA | relaxed

Values from the calculation:
As for the symmetry: P4/mmm, No. 123. The energy above the lowest structure with this stoichiometry comes out at 0 meV per atom.

a b c (Å): 5.878 5.878 3.760
angles (deg): 90.00 90.00 90.00
Atoms (fractional coordinates):
Pt  0.000  0.000  0.000
Ga  0.500  0.500  0.500
N  0.000  0.000  0.500
I  0.000  0.500  0.000
I  0.500  0.000  0.000


GaPtI2N | PBE-GGA | relaxed

Values from the calculation:
As for the symmetry: P4/mmm, No. 123. The energy above the lowest structure with this stoichiometry comes out at 626 meV per atom.

a b c (Å): 5.809 5.809 3.460
angles (deg): 90.00 90.00 90.00
Atoms (fractional coordinates):
Pt  0.500  0.500  0.500
N  0.000  0.000  0.500
Ga  0.000  0.000  0.000
I  0.500  0.000  0.000
I  0.000  0.500  0.000


GaPt2IN | PBE-GGA | relaxed

Values from the calculation:
The value obtained for the calculated total energy is -2.899 eV per atom. As for the symmetry: P4/mmm, No. 123.

a b c (Å): 4.949 6.343 4.949
angles (deg): 90.00 90.00 90.00
Site moments in Bohr magnetons follow the coordinates.
Atoms (fractional coordinates):
I  0.000  0.000  0.000  0.00
Pt  0.500  0.000  0.000  0.02
Pt  0.000  0.000  0.500  0.03
Ga  0.000  0.500  0.000  0.00
N  0.500  0.500  0.500  0.41


RbGaI2N | PBE-GGA | relaxed

Values from the calculation:
As for the symmetry: P4/mmm, No. 123. The energy above the lowest structure with this stoichiometry comes out at 768 meV per atom.

a b c (Å): 6.833 6.833 5.535
angles (deg): 90.00 90.00 90.00
Site moments in Bohr magnetons follow the coordinates.
Atoms (fractional coordinates):
N  0.000  0.000  0.500  1.86
Rb  0.000  0.000  0.000  0.03
Ga  0.500  0.500  0.500  0.00
I  0.500  0.000  0.000  0.06
I  0.000  0.500  0.000  0.06


RbGaI2N | PBE-GGA | relaxed

Values from the calculation:
As for the symmetry: P4/mmm, No. 123. The energy above the lowest structure with this stoichiometry comes out at 0 meV per atom.

a b c (Å): 6.574 6.574 3.555
angles (deg): 90.00 90.00 90.00
Site moments in Bohr magnetons follow the coordinates.
Atoms (fractional coordinates):
N  0.000  0.000  0.500  0.30
I  0.500  0.000  0.000  0.06
I  0.000  0.500  0.000  0.06
Ga  0.000  0.000  0.000  -0.01
Rb  0.500  0.500  0.500  0.00


GaRhIN2 | PBE-GGA | relaxed

Values from the calculation:
As for the symmetry: P4/mmm, No. 123. The energy above the lowest structure with this stoichiometry comes out at 360 meV per atom.

a b c (Å): 3.825 3.825 6.586
angles (deg): 90.00 90.00 90.00
Site moments in Bohr magnetons follow the coordinates.
Atoms (fractional coordinates):
I  0.000  0.000  0.500  0.09
N  0.500  0.000  0.000  0.77
N  0.000  0.500  0.000  0.77
Ga  0.000  0.000  0.000  -0.02
Rh  0.500  0.500  0.500  0.76


GaRhIN2 | PBE-GGA | relaxed

Values from the calculation:
As for the symmetry: P4/mmm, No. 123. The energy above the lowest structure with this stoichiometry comes out at 0 meV per atom.

a b c (Å): 3.899 3.899 7.705
angles (deg): 90.00 90.00 90.00
Site moments in Bohr magnetons follow the coordinates.
Atoms (fractional coordinates):
N  0.000  0.500  0.000  0.19
N  0.500  0.000  0.000  0.19
Rh  0.000  0.000  0.000  -0.05
Ga  0.500  0.500  0.500  0.00
I  0.000  0.000  0.500  0.00


GaSIN2 | PBE-GGA | relaxed

Values from the calculation:
As for the symmetry: P4/mmm, No. 123. The energy above the lowest structure with this stoichiometry comes out at 55 meV per atom.

a b c (Å): 3.848 3.848 8.114
angles (deg): 90.00 90.00 90.00
Site moments in Bohr magnetons follow the coordinates.
Atoms (fractional coordinates):
N  0.000  0.500  0.000  0.79
N  0.500  0.000  0.000  0.79
Ga  0.000  0.000  0.000  -0.04
I  0.000  0.000  0.500  0.00
S  0.500  0.500  0.500  0.01


GaSIN2 | PBE-GGA | relaxed

Values from the calculation:
As for the symmetry: P4/mmm, No. 123. The energy above the lowest structure with this stoichiometry comes out at 0 meV per atom.

a b c (Å): 4.024 4.024 5.478
angles (deg): 90.00 90.00 90.00
Site moments in Bohr magnetons follow the coordinates.
Atoms (fractional coordinates):
Ga  0.000  0.000  0.000  -0.04
N  0.500  0.000  0.000  1.12
N  0.000  0.500  0.000  1.12
S  0.000  0.000  0.500  0.06
I  0.500  0.500  0.500  0.15


GaS2IN | PBE-GGA | relaxed

Values from the calculation:
As for the symmetry: P4/mmm, No. 123. The energy above the lowest structure with this stoichiometry comes out at 287 meV per atom.

a b c (Å): 5.239 5.239 3.998
angles (deg): 90.00 90.00 90.00
Atoms (fractional coordinates):
Ga  0.500  0.500  0.500
S  0.500  0.000  0.000
S  0.000  0.500  0.000
I  0.000  0.000  0.000
N  0.000  0.000  0.500